# 1
# Ba2TcMo

Ba2TcMo after structural relaxation (PBE, OQMD).

a = 5.228 Å, b = 5.228 Å, c = 5.228 Å
α = 60.00°, β = 60.00°, γ = 60.00°
Sites, in units of the cell vectors:
Ba (0.000, 0.000, 0.000)
Ba (0.250, 0.250, 0.250)
Tc (0.500, 0.500, 0.500)
Mo (0.750, 0.750, 0.750)

VASP energy in eV/atom: -4.855



# 2
# BaTe3Mo

BaTe3Mo after structural relaxation (PBE, OQMD).

a = 7.407 Å, b = 7.407 Å, c = 7.144 Å
α = 90.00°, β = 90.00°, γ = 120.00°
Sites, in units of the cell vectors:
Ba (0.000, 0.000, 0.000)
Ba (0.000, 0.000, 0.500)
Te (0.011, 0.412, 0.250)
Te (0.011, 0.599, 0.750)
Te (0.401, 0.412, 0.750)
Te (0.401, 0.989, 0.250)
Te (0.588, 0.599, 0.250)
Te (0.588, 0.989, 0.750)
Mo (0.333, 0.667, 0.000)
Mo (0.333, 0.667, 0.500)

VASP energy in eV/atom: -4.878



# 3
# BaTeMo

BaTeMo after structural relaxation (PBE, OQMD).

a = 5.156 Å, b = 5.156 Å, c = 5.156 Å
α = 60.00°, β = 60.00°, γ = 60.00°
Sites, in units of the cell vectors:
Ba (0.000, 0.000, 0.000)
Te (0.500, 0.500, 0.500)
Mo (0.250, 0.250, 0.250)

VASP energy in eV/atom: -4.820
Offset from the most stable computed form in eV per atom: 0.0000



# 4
# BaThMo

BaThMo after structural relaxation (PBE, OQMD).

a = 5.110 Å, b = 5.110 Å, c = 5.110 Å
α = 60.00°, β = 60.00°, γ = 60.00°
Sites, in units of the cell vectors:
Ba (0.000, 0.000, 0.000)
Th (0.500, 0.500, 0.500)
Mo (0.250, 0.250, 0.250)

VASP energy in eV/atom: -5.766
Offset from the most stable computed form in eV per atom: 0.0000



# 5
# BaTl2Mo

BaTl2Mo after structural relaxation (PBE, OQMD).

a = 5.354 Å, b = 5.354 Å, c = 5.354 Å
α = 60.00°, β = 60.00°, γ = 60.00°
Sites, in units of the cell vectors:
Ba (0.000, 0.000, 0.000)
Tl (0.500, 0.500, 0.500)
Tl (0.750, 0.750, 0.750)
Mo (0.250, 0.250, 0.250)

VASP energy in eV/atom: -3.595



# 6
# Ba2TlMo

Ba2TlMo after structural relaxation (PBE, OQMD).

a = 5.515 Å, b = 5.515 Å, c = 5.515 Å
α = 60.00°, β = 60.00°, γ = 60.00°
Sites, in units of the cell vectors:
Ba (0.000, 0.000, 0.000)
Ba (0.250, 0.250, 0.250)
Tl (0.500, 0.500, 0.500)
Mo (0.750, 0.750, 0.750)

VASP energy in eV/atom: -3.559



# 7
# BaUMo

BaUMo after structural relaxation (PBE, OQMD).

a = 4.928 Å, b = 4.928 Å, c = 4.928 Å
α = 60.00°, β = 60.00°, γ = 60.00°
Sites, in units of the cell vectors:
Ba (0.000, 0.000, 0.000)
U (0.500, 0.500, 0.500)
Mo (0.250, 0.250, 0.250)

VASP energy in eV/atom: -6.558
Offset from the most stable computed form in eV per atom: 0.0000



# 8
# BaMoW

BaMoW after structural relaxation (PBE, OQMD).

a = 4.707 Å, b = 4.707 Å, c = 4.707 Å
α = 60.00°, β = 60.00°, γ = 60.00°
Sites, in units of the cell vectors:
Ba (0.000, 0.000, 0.000)
Mo (0.250, 0.250, 0.250)
W (0.500, 0.500, 0.500)

VASP energy in eV/atom: -6.890
Offset from the most stable computed form in eV per atom: 0.0000



# 9
# Ba2MoW

Ba2MoW after structural relaxation (PBE, OQMD).

a = 5.256 Å, b = 5.256 Å, c = 5.256 Å
α = 60.00°, β = 60.00°, γ = 60.00°
Sites, in units of the cell vectors:
Ba (0.000, 0.000, 0.000)
Ba (0.250, 0.250, 0.250)
Mo (0.750, 0.750, 0.750)
W (0.500, 0.500, 0.500)

VASP energy in eV/atom: -5.298



# 10
# Ba2YMo

Ba2YMo after structural relaxation (PBE, OQMD).

a = 5.639 Å, b = 5.639 Å, c = 5.639 Å
α = 60.00°, β = 60.00°, γ = 60.00°
Sites, in units of the cell vectors:
Ba (0.000, 0.000, 0.000)
Ba (0.250, 0.250, 0.250)
Y (0.500, 0.500, 0.500)
Mo (0.750, 0.750, 0.750)

VASP energy in eV/atom: -4.358



# 11
# BaZnMo2

BaZnMo2 after structural relaxation (PBE, OQMD).

a = 4.892 Å, b = 4.892 Å, c = 4.892 Å
α = 60.00°, β = 60.00°, γ = 60.00°
Sites, in units of the cell vectors:
Ba (0.000, 0.000, 0.000)
Zn (0.250, 0.250, 0.250)
Mo (0.500, 0.500, 0.500)
Mo (0.750, 0.750, 0.750)

VASP energy in eV/atom: -5.183



# 12
# Ba2ZnMo

Ba2ZnMo after structural relaxation (PBE, OQMD).

a = 5.543 Å, b = 5.543 Å, c = 5.543 Å
α = 60.00°, β = 60.00°, γ = 60.00°
Sites, in units of the cell vectors:
Ba (0.000, 0.000, 0.000)
Ba (0.250, 0.250, 0.250)
Zn (0.500, 0.500, 0.500)
Mo (0.750, 0.750, 0.750)

VASP energy in eV/atom: -3.158



# 13
# BaZn2Mo

BaZn2Mo after structural relaxation (PBE, OQMD).

a = 5.121 Å, b = 5.121 Å, c = 5.121 Å
α = 60.00°, β = 60.00°, γ = 60.00°
Sites, in units of the cell vectors:
Ba (0.000, 0.000, 0.000)
Zn (0.500, 0.500, 0.500)
Zn (0.750, 0.750, 0.750)
Mo (0.250, 0.250, 0.250)

VASP energy in eV/atom: -2.960



# 14
# Ba6ZrMo2

Ba6ZrMo2 after structural relaxation (PBE, OQMD).

a = 6.005 Å, b = 6.005 Å, c = 12.044 Å
α = 90.00°, β = 90.00°, γ = 90.00°
Sites, in units of the cell vectors:
Ba (0.000, 0.000, 0.000)
Ba (0.000, 0.000, 0.500)
Ba (0.000, 0.500, 0.239)
Ba (0.000, 0.500, 0.761)
Ba (0.500, 0.000, 0.239)
Ba (0.500, 0.000, 0.761)
Zr (0.500, 0.500, 0.000)
Mo (0.000, 0.000, 0.249)
Mo (0.000, 0.000, 0.751)

VASP energy in eV/atom: -3.531



# 15
# Ba2NaTcN6

Ba2NaTcN6 after structural relaxation (PBE, OQMD).

a = 6.031 Å, b = 6.031 Å, c = 6.104 Å
α = 120.37°, β = 120.37°, γ = 59.69°
Sites, in units of the cell vectors:
Ba (0.250, 0.250, 0.249)
Ba (0.750, 0.750, 0.751)
Na (0.500, 0.500, 0.000)
Tc (0.000, 0.000, 0.500)
N (0.209, 0.751, 0.707)
N (0.227, 0.227, 0.766)
N (0.249, 0.791, 0.293)
N (0.751, 0.209, 0.707)
N (0.773, 0.773, 0.234)
N (0.791, 0.249, 0.293)

VASP energy in eV/atom: -5.997



# 16
# Ba2NaTcN6

Ba2NaTcN6 after structural relaxation (PBE, OQMD).

a = 6.035 Å, b = 6.035 Å, c = 6.035 Å
α = 60.00°, β = 60.00°, γ = 60.00°
Sites, in units of the cell vectors:
Ba (0.250, 0.250, 0.250)
Ba (0.750, 0.750, 0.750)
Na (0.000, 0.000, 0.000)
Tc (0.500, 0.500, 0.500)
N (0.271, 0.271, 0.729)
N (0.271, 0.729, 0.271)
N (0.271, 0.729, 0.729)
N (0.729, 0.271, 0.271)
N (0.729, 0.271, 0.729)
N (0.729, 0.729, 0.271)

VASP energy in eV/atom: -5.998



# 17
# Ba2NaTcN6

Ba2NaTcN6 after structural relaxation (PBE, OQMD).

a = 6.010 Å, b = 6.026 Å, c = 6.026 Å
α = 60.84°, β = 60.29°, γ = 60.41°
Sites, in units of the cell vectors:
Ba (0.250, 0.250, 0.250)
Ba (0.750, 0.750, 0.750)
Na (0.000, 0.000, 0.000)
Tc (0.500, 0.500, 0.500)
N (0.246, 0.299, 0.743)
N (0.277, 0.766, 0.688)
N (0.294, 0.713, 0.250)
N (0.706, 0.287, 0.750)
N (0.723, 0.234, 0.312)
N (0.754, 0.701, 0.257)

VASP energy in eV/atom: -5.998



# 18
# Ba2NaTcN6

Ba2NaTcN6 after structural relaxation (PBE, OQMD).

a = 6.036 Å, b = 6.036 Å, c = 6.036 Å
α = 120.03°, β = 120.03°, γ = 89.96°
Sites, in units of the cell vectors:
Ba (0.250, 0.750, 0.500)
Ba (0.750, 0.250, 0.500)
Na (0.000, 0.000, 0.000)
Tc (0.500, 0.500, 0.000)
N (0.265, 0.277, 0.542)
N (0.271, 0.271, 0.000)
N (0.277, 0.735, 0.012)
N (0.723, 0.265, 0.988)
N (0.729, 0.729, 0.000)
N (0.735, 0.723, 0.458)

VASP energy in eV/atom: -5.998



# 19
# BaNbN3

BaNbN3 after structural relaxation (PBE, OQMD).

a = 4.199 Å, b = 4.199 Å, c = 4.199 Å
α = 90.00°, β = 90.00°, γ = 90.00°
Sites, in units of the cell vectors:
Ba (0.000, 0.000, 0.000)
Nb (0.500, 0.500, 0.500)
N (0.000, 0.500, 0.500)
N (0.500, 0.000, 0.500)
N (0.500, 0.500, 0.000)

VASP energy in eV/atom: -7.767



# 20
# BaNb3N

BaNb3N after structural relaxation (PBE, OQMD).

a = 6.594 Å, b = 6.594 Å, c = 6.162 Å
α = 90.00°, β = 90.00°, γ = 130.84°
Sites, in units of the cell vectors:
Ba (0.074, 0.926, 0.750)
Ba (0.926, 0.074, 0.250)
Nb (0.190, 0.810, 0.250)
Nb (0.376, 0.624, 0.519)
Nb (0.376, 0.624, 0.981)
Nb (0.624, 0.376, 0.019)
Nb (0.624, 0.376, 0.481)
Nb (0.810, 0.190, 0.750)
N (0.489, 0.511, 0.250)
N (0.511, 0.489, 0.750)

VASP energy in eV/atom: -7.799